(1)
! PBE Ac4Tb4Pm3, relaxed; values from VASP
&SYSTEM
  ibrav = 0, nat = 11, ntyp = 3
/
ATOMIC_SPECIES
Tb 158.93 Tb.upf
Ac 227.00 Ac.upf
Pm 145.00 Pm.upf
CELL_PARAMETERS angstrom
3.766 -0.003 -0.315
-0.054 5.166 -0.644
-0.136 -0.014 20.912
ATOMIC_POSITIONS angstrom
Tb 0.933 1.393 11.081
Tb 2.642 3.756 8.872
Tb 3.253 4.673 16.140
Ac 0.628 0.939 7.481
Ac 1.557 2.329 18.518
Ac 2.019 2.820 1.435
Tb 0.322 0.477 3.814
Ac 2.947 4.211 12.472
Pm 2.325 3.279 5.084
Pm 1.251 1.870 14.870
Pm 0.000 0.000 0.000
! Calculated density   8.08 g/cm3
! SG   No. 2
! Fermi-level density of states   1.46 states/eV per atom
! Formation enthalpy at 0 K   0.05 eV/atom

(2)
! PBE VSeBr2, relaxed; values from VASP
&SYSTEM
  ibrav = 0, nat = 4, ntyp = 3
/
ATOMIC_SPECIES
V 50.94 V.upf
Se 78.96 Se.upf
Br 79.90 Br.upf
CELL_PARAMETERS angstrom
-0.782 -4.768 1.215
-4.645 -1.668 0.675
-2.035 -3.114 -3.314
ATOMIC_POSITIONS angstrom
V 0.000 0.000 0.000
Se -3.731 -4.775 -0.712
Br -5.597 -7.162 -1.068
Br -1.866 -2.387 -0.356
! Calculated density   5.50 g/cm3
! SG   No. 225
! Excess energy over the best structure of this formula in the dataset   841 meV per atom
! Fermi-level density of states   1.36 states/eV per atom
! E_form (uncorrected)   436 meV/atom

(3)
! PBE Tl2CrNi, relaxed; values from VASP
&SYSTEM
  ibrav = 0, nat = 4, ntyp = 3
/
ATOMIC_SPECIES
Tl 204.38 Tl.upf
Ni 58.69 Ni.upf
Cr 52.00 Cr.upf
CELL_PARAMETERS angstrom
-4.210 2.404 -7.577
-1.303 1.477 -8.777
-3.626 -0.763 -8.197
ATOMIC_POSITIONS angstrom
Tl -0.133 0.045 -0.358
Ni -6.961 2.375 -18.701
Tl -2.188 0.746 -5.877
Cr -4.426 1.510 -11.891
! Calculated density   10.53 g/cm3
! SG   No. 160
! Excess energy over the best structure of this formula in the dataset   137 meV per atom
! Fermi-level density of states   0.84 states/eV per atom
! Formation enthalpy at 0 K   0.56 eV/atom

(4)
! PBE Li3GaB, relaxed; values from VASP
&SYSTEM
  ibrav = 0, nat = 5, ntyp = 3
/
ATOMIC_SPECIES
Li 6.94 Li.upf
Ga 69.72 Ga.upf
B 10.81 B.upf
CELL_PARAMETERS angstrom
-3.659 1.832 -1.181
-2.179 -3.089 1.962
-0.013 2.290 3.591
ATOMIC_POSITIONS angstrom
Li -1.090 -1.544 0.981
Ga -2.925 0.516 2.186
Li -0.006 1.145 1.796
Li -1.830 0.916 -0.590
B 0.000 0.000 0.000
! Calculated density   2.18 g/cm3
! SG   No. 221
! Excess energy over the best structure of this formula in the dataset   0 meV per atom
! Fermi-level density of states   0.42 states/eV per atom
! Formation enthalpy at 0 K   0.41 eV/atom

(5)
! PBE BeSbSeN2, relaxed; values from VASP
&SYSTEM
  ibrav = 0, nat = 5, ntyp = 4
/
ATOMIC_SPECIES
N 14.01 N.upf
Sb 121.76 Sb.upf
Be 9.01 Be.upf
Se 78.96 Se.upf
CELL_PARAMETERS angstrom
-0.127 3.530 1.622
-3.661 -0.652 1.132
2.011 -2.306 5.175
ATOMIC_POSITIONS angstrom
N -0.063 1.765 0.811
N -1.831 -0.326 0.566
Sb 0.000 0.000 0.000
Be -0.889 0.286 3.965
Se 1.005 -1.153 2.587
! Calculated density   4.35 g/cm3
! SG   No. 123
! Excess energy over the best structure of this formula in the dataset   194 meV per atom
! Fermi-level density of states   0.34 states/eV per atom
! E_form (uncorrected)   1387 meV/atom

(6)
! PBE Cu2Te, relaxed; values from VASP
&SYSTEM
  ibrav = 0, nat = 9, ntyp = 2
/
ATOMIC_SPECIES
Cu 63.55 Cu.upf
Te 127.60 Te.upf
CELL_PARAMETERS angstrom
-1.829 0.227 -6.674
-2.812 -4.732 4.201
-2.936 2.536 0.891
ATOMIC_POSITIONS angstrom
Cu -3.425 -3.324 -1.825
Te -2.484 -3.079 0.576
Cu -3.247 -0.459 -0.503
Te -1.468 1.268 0.446
Cu -3.202 -1.650 3.036
Cu -2.596 1.408 -3.670
Te -2.157 -1.426 -3.049
Cu -0.479 0.060 -1.749
Cu -0.737 -1.240 1.101
! Calculated density   7.68 g/cm3
! SG   No. 189
! Fermi-level density of states   0.20 states/eV per atom
! E_form (uncorrected)   217 meV/atom

(7)
! PBE PmAuO3, relaxed; values from VASP
&SYSTEM
  ibrav = 0, nat = 10, ntyp = 3
/
ATOMIC_SPECIES
O 16.00 O.upf
Au 196.97 Au.upf
Pm 145.00 Pm.upf
CELL_PARAMETERS angstrom
-0.791 1.585 -3.535
-1.637 -5.419 -2.064
-5.398 0.281 3.545
ATOMIC_POSITIONS angstrom
O -1.929 0.246 0.542
O -5.142 -1.301 -1.645
O -6.149 -0.292 1.245
O -2.683 -2.253 -0.410
Au -1.613 -3.993 -1.429
Au -6.213 0.439 -0.625
Pm -4.787 -3.405 -0.456
O -5.897 -3.799 -2.596
Pm -3.039 -0.148 -1.598
O -1.677 -3.262 -3.299
! Calculated density   8.83 g/cm3
! SG   No. 63
! Fermi-level density of states   0.44 states/eV per atom
! E_form (uncorrected)   -1473 meV/atom

(8)
! PBE Li5CdAu6, relaxed; values from VASP
&SYSTEM
  ibrav = 0, nat = 12, ntyp = 3
/
ATOMIC_SPECIES
Li 6.94 Li.upf
Au 196.97 Au.upf
Cd 112.41 Cd.upf
CELL_PARAMETERS angstrom
4.352 0.045 -1.226
-0.691 5.860 -2.234
0.192 -0.427 7.727
ATOMIC_POSITIONS angstrom
Li 1.294 1.676 3.994
Au 1.989 1.615 -1.220
Li -0.345 2.930 -1.117
Au 3.276 3.077 2.766
Li 2.559 3.802 0.274
Li 0.991 4.647 2.969
Au 0.577 2.401 1.501
Au 3.609 0.255 3.842
Cd 0.000 0.000 0.000
Li 2.861 0.831 1.298
Au 1.864 3.863 5.487
Au 0.244 5.223 0.425
! Calculated density   11.37 g/cm3
! SG   No. 12
! Fermi-level density of states   0.19 states/eV per atom
! Formation enthalpy at 0 K   -0.48 eV/atom

(9)
! PBE Zr2P2H, relaxed; values from VASP
&SYSTEM
  ibrav = 0, nat = 10, ntyp = 3
/
ATOMIC_SPECIES
H 1.01 H.upf
P 30.97 P.upf
Zr 91.22 Zr.upf
CELL_PARAMETERS angstrom
-2.258 -1.640 2.271
5.184 -0.678 4.666
-0.447 6.571 1.451
ATOMIC_POSITIONS angstrom
H 1.320 -0.210 4.012
P 0.031 2.141 4.427
P 3.945 1.916 5.307
P 1.077 0.230 1.237
Zr 0.978 4.646 4.328
H -1.189 4.770 2.262
P 1.175 4.053 6.946
Zr 2.310 1.382 3.296
Zr -2.029 3.158 3.113
Zr 3.579 -0.665 5.929
! Calculated density   4.97 g/cm3
! SG   No. 36
! Total DFT energy (no corrections)   -7.160 eV per atom
! Fermi-level density of states   0.49 states/eV per atom

(10)
! PBE PmSmGeCl, relaxed; values from VASP
&SYSTEM
  ibrav = 0, nat = 4, ntyp = 4
/
ATOMIC_SPECIES
Sm 150.36 Sm.upf
Ge 72.64 Ge.upf
Pm 145.00 Pm.upf
Cl 35.45 Cl.upf
CELL_PARAMETERS angstrom
-1.769 -4.369 -1.494
2.357 2.955 -3.251
5.031 -2.505 1.370
ATOMIC_POSITIONS angstrom
Sm 3.012 -0.993 -0.664
Ge 0.497 0.260 -1.351
Pm 0.109 -1.664 -3.444
Cl 2.625 -2.917 -2.758
! Calculated density   5.41 g/cm3
! SG   No. 38
! Excess energy over the best structure of this formula in the dataset   61 meV per atom
! Fermi-level density of states   0.37 states/eV per atom
! E_form (uncorrected)   -972 meV/atom

(11)
! PBE Sc3ZnMo, relaxed; values from VASP
&SYSTEM
  ibrav = 0, nat = 5, ntyp = 3
/
ATOMIC_SPECIES
Mo 95.94 Mo.upf
Sc 44.96 Sc.upf
Zn 65.41 Zn.upf
CELL_PARAMETERS angstrom
4.889 0.000 0.000
0.000 4.889 0.000
0.000 0.000 4.889
ATOMIC_POSITIONS angstrom
Mo 2.445 2.445 2.445
Sc 0.000 2.445 0.000
Zn 0.000 0.000 0.000
Sc 0.000 0.000 2.445
Sc 2.445 0.000 0.000
! Calculated density   4.21 g/cm3
! SG   No. 221
! Excess energy over the best structure of this formula in the dataset   328 meV per atom
! Fermi-level density of states   1.33 states/eV per atom
! Formation enthalpy at 0 K   0.84 eV/atom

(12)
! PBE Tl2HgP, relaxed; values from VASP
&SYSTEM
  ibrav = 0, nat = 4, ntyp = 3
/
ATOMIC_SPECIES
Tl 204.38 Tl.upf
P 30.97 P.upf
Hg 200.59 Hg.upf
CELL_PARAMETERS angstrom
-2.683 -1.443 -1.960
2.869 -1.822 -1.254
-1.133 -5.792 5.818
ATOMIC_POSITIONS angstrom
Tl -0.229 -3.277 0.045
P -0.728 -5.825 2.605
Tl -1.075 -5.494 5.519
Hg -0.616 -3.147 3.161
! Calculated density   9.98 g/cm3
! SG   No. 35
! Excess energy over the best structure of this formula in the dataset   134 meV per atom
! Fermi-level density of states   0.56 states/eV per atom
! Formation enthalpy at 0 K   0.25 eV/atom

(13)
! PBE KSr3Rh, relaxed; values from VASP
&SYSTEM
  ibrav = 0, nat = 20, ntyp = 3
/
ATOMIC_SPECIES
Sr 87.62 Sr.upf
Rh 102.91 Rh.upf
K 39.10 K.upf
CELL_PARAMETERS angstrom
15.530 0.000 -1.279
6.772 8.829 -3.969
-6.772 8.829 3.969
ATOMIC_POSITIONS angstrom
Sr 5.498 11.958 0.010
Sr 9.250 9.932 -1.103
Rh 8.262 5.889 1.025
Sr 6.281 7.726 -0.176
Sr 8.962 13.859 -0.995
Sr 13.263 14.529 -0.630
Rh 7.268 5.906 -2.304
Sr 10.032 5.700 -1.289
Rh 8.262 11.751 1.025
Sr 1.485 16.555 -0.464
K 9.741 1.026 -1.120
Sr 6.568 3.799 -0.284
Sr 1.197 12.628 -0.355
Sr 2.267 3.129 -0.649
Sr 14.046 1.103 -0.815
Rh 7.268 11.768 -2.304
K 1.976 7.803 -0.480
K 13.555 9.855 -0.799
K 5.789 16.632 -0.160
Sr 14.333 5.030 -0.924
! Calculated density   2.87 g/cm3
! SG   No. 15
! Excess energy over the best structure of this formula in the dataset   36 meV per atom
! Fermi-level density of states   0.86 states/eV per atom
! Formation enthalpy at 0 K   -0.10 eV/atom

(14)
! PBE TeHRu2I, relaxed; values from VASP
&SYSTEM
  ibrav = 0, nat = 5, ntyp = 4
/
ATOMIC_SPECIES
I 126.90 I.upf
Ru 101.07 Ru.upf
Te 127.60 Te.upf
H 1.01 H.upf
CELL_PARAMETERS angstrom
5.035 0.000 0.000
0.000 3.551 0.000
0.000 0.000 5.035
ATOMIC_POSITIONS angstrom
I 0.000 0.000 0.000
Ru 0.000 0.000 2.518
Te 2.518 1.775 2.518
H 0.000 1.775 0.000
Ru 2.518 0.000 0.000
! Calculated density   8.44 g/cm3
! SG   No. 123
! Total DFT energy (no corrections)   -4.269 eV per atom
! Fermi-level density of states   1.24 states/eV per atom

(15)
! PBE MnCrTe, relaxed; values from VASP
&SYSTEM
  ibrav = 0, nat = 3, ntyp = 3
/
ATOMIC_SPECIES
Mn 54.94 Mn.upf
Cr 52.00 Cr.upf
Te 127.60 Te.upf
CELL_PARAMETERS angstrom
4.889 0.379 -0.277
2.141 4.411 0.277
-3.360 -2.623 2.440
ATOMIC_POSITIONS angstrom
Mn 2.355 1.605 0.000
Cr 0.012 0.008 0.000
Te 4.662 3.177 0.000
! Calculated density   7.59 g/cm3
! SG   No. 107
! Excess energy over the best structure of this formula in the dataset   407 meV per atom
! Fermi-level density of states   0.89 states/eV per atom
! E_form (uncorrected)   415 meV/atom

(16)
! PBE LiAlOsF2, relaxed; values from VASP
&SYSTEM
  ibrav = 0, nat = 5, ntyp = 4
/
ATOMIC_SPECIES
Al 26.98 Al.upf
F 19.00 F.upf
Os 190.23 Os.upf
Li 6.94 Li.upf
CELL_PARAMETERS angstrom
-0.686 2.012 2.919
2.901 -3.229 2.908
2.924 2.003 -0.693
ATOMIC_POSITIONS angstrom
Al 2.569 0.393 2.567
F 1.462 1.001 -0.347
Os 1.450 -1.614 1.454
Li 0.000 0.000 0.000
F -0.343 1.006 1.459
! Calculated density   6.39 g/cm3
! SG   No. 123
! Fermi-level density of states   0.64 states/eV per atom
! E_form (uncorrected)   -592 meV/atom

(17)
! PBE Cu2SbW, relaxed; values from VASP
&SYSTEM
  ibrav = 0, nat = 4, ntyp = 3
/
ATOMIC_SPECIES
Cu 63.55 Cu.upf
Sb 121.76 Sb.upf
W 183.84 W.upf
CELL_PARAMETERS angstrom
4.334 0.000 0.000
0.000 2.850 -0.035
0.000 0.056 5.212
ATOMIC_POSITIONS angstrom
Cu 2.167 0.726 1.132
Cu 0.000 0.770 5.203
Sb 0.000 0.740 2.666
W 2.167 2.180 3.976
! Calculated density   11.16 g/cm3
! SG   No. 6
! Fermi-level density of states   0.83 states/eV per atom
! E_form (uncorrected)   485 meV/atom

(18)
! PBE Be3CdSn, relaxed; values from VASP
&SYSTEM
  ibrav = 0, nat = 5, ntyp = 3
/
ATOMIC_SPECIES
Be 9.01 Be.upf
Cd 112.41 Cd.upf
Sn 118.71 Sn.upf
CELL_PARAMETERS angstrom
4.511 0.000 0.000
0.000 4.511 0.000
0.000 0.000 4.511
ATOMIC_POSITIONS angstrom
Be 0.000 0.000 2.256
Cd 0.000 0.000 0.000
Be 2.256 0.000 0.000
Sn 2.256 2.256 2.256
Be 0.000 2.256 0.000
! Calculated density   4.67 g/cm3
! SG   No. 221
! Excess energy over the best structure of this formula in the dataset   0 meV per atom
! Fermi-level density of states   0.32 states/eV per atom
! Formation enthalpy at 0 K   1.01 eV/atom

(19)
! PBE Tb3Nd2Dy3, relaxed; values from VASP
&SYSTEM
  ibrav = 0, nat = 16, ntyp = 3
/
ATOMIC_SPECIES
Dy 162.50 Dy.upf
Tb 158.93 Tb.upf
Nd 144.24 Nd.upf
CELL_PARAMETERS angstrom
6.140 -1.422 0.000
-4.850 7.008 0.000
0.000 0.000 14.591
ATOMIC_POSITIONS angstrom
Dy -1.085 4.665 7.302
Tb 2.341 0.927 3.648
Tb 1.977 3.956 1.823
Nd -0.723 1.634 5.474
Tb -0.686 1.630 12.768
Dy 2.375 0.922 7.289
Dy 2.375 0.922 0.006
Nd 2.013 3.953 9.117
Nd -0.723 1.634 1.821
Nd 2.013 3.953 12.770
Dy -1.085 4.665 14.585
Dy -1.116 4.668 3.648
Tb -0.686 1.630 9.119
Dy 2.406 0.918 10.943
Tb 1.977 3.956 5.473
Tb -1.051 4.659 10.943
! Calculated density   7.89 g/cm3
! SG   No. 11
! Fermi-level density of states   1.76 states/eV per atom
! Formation enthalpy at 0 K   0.02 eV/atom

(20)
! PBE ScRhW3, relaxed; values from VASP
&SYSTEM
  ibrav = 0, nat = 5, ntyp = 3
/
ATOMIC_SPECIES
Rh 102.91 Rh.upf
W 183.84 W.upf
Sc 44.96 Sc.upf
CELL_PARAMETERS angstrom
-1.598 3.171 -3.134
-3.660 0.969 2.846
2.547 3.382 2.123
ATOMIC_POSITIONS angstrom
Rh 0.000 0.000 0.000
W -1.830 0.485 1.423
W 1.274 1.691 1.062
Sc -1.355 3.761 0.917
W -0.799 1.586 -1.567
! Calculated density   10.93 g/cm3
! SG   No. 221
! Excess energy over the best structure of this formula in the dataset   0 meV per atom
! Fermi-level density of states   1.27 states/eV per atom
! Formation enthalpy at 0 K   1.59 eV/atom